1.
VASP calculation (GGA-PBE) on a relaxed ReRuF2 crystal.

a b c (Å): 9.2328 9.2328 9.2328
angles (deg): 16.75 16.75 16.75
Site moments in Bohr magnetons follow the coordinates.
Element x y z (fractional)
Re 0.0000 0.0000 0.0000  -0.05
F 0.9295 0.9295 0.9295  0.01
F 0.0705 0.0705 0.0705  0.01
Ru 0.5000 0.5000 0.5000  1.86

For the distance to the lowest polymorph of the same formula, the calculation gives 0 meV/atom.


2.
VASP calculation (GGA-PBE) on a relaxed Re2RuF crystal.

a b c (Å): 4.2659 4.2659 4.2659
angles (deg): 60.00 60.00 60.00
Element x y z (fractional)
Re 0.2500 0.2500 0.2500
Re 0.7500 0.7500 0.7500
F 0.0000 0.0000 0.0000
Ru 0.5000 0.5000 0.5000

For the distance to the lowest polymorph of the same formula, the calculation gives 0 meV/atom.


3.
VASP calculation (GGA-PBE) on a relaxed ReRuF2 crystal.

a b c (Å): 4.1166 4.1166 4.1166
angles (deg): 60.00 60.00 60.00
Element x y z (fractional)
Re 0.5000 0.5000 0.5000
F 0.2500 0.2500 0.2500
F 0.7500 0.7500 0.7500
Ru 0.0000 0.0000 0.0000

For the distance to the lowest polymorph of the same formula, the calculation gives 1327 meV/atom.


4.
VASP calculation (GGA-PBE) on a relaxed ReRuF2 crystal.

a b c (Å): 5.1050 5.1050 5.8819
angles (deg): 64.28 64.28 90.00
Site moments in Bohr magnetons follow the coordinates.
Element x y z (fractional)
Re 0.0000 0.0000 0.0000  -0.57
Re 0.7500 0.2500 0.5000  -0.58
F 0.6392 0.1250 0.2500  0.01
F 0.1108 0.6250 0.2500  0.02
F 0.3750 0.3608 0.7500  0.01
F 0.8750 0.8892 0.7500  0.02
Ru 0.5000 0.5000 0.0000  1.74
Ru 0.2500 0.7500 0.5000  1.74

For the distance to the lowest polymorph of the same formula, the calculation gives 1458 meV/atom.


5.
VASP calculation (GGA-PBE) on a relaxed ReRuF2 crystal.

a b c (Å): 8.4007 8.4007 8.4007
angles (deg): 18.15 18.15 18.15
Site moments in Bohr magnetons follow the coordinates.
Element x y z (fractional)
Re 0.5000 0.5000 0.5000  0.02
F 0.9182 0.9182 0.9182  0.02
F 0.0818 0.0818 0.0818  0.02
Ru 0.0000 0.0000 0.0000  0.51

For the distance to the lowest polymorph of the same formula, the calculation gives 246 meV/atom.


6.
VASP calculation (GGA-PBE) on a relaxed Re2RuF crystal.

a b c (Å): 6.4241 6.4241 5.2954
angles (deg): 52.66 52.66 90.00
Element x y z (fractional)
Re 0.5898 0.1250 0.2500
Re 0.1602 0.6250 0.2500
Re 0.3750 0.4102 0.7500
Re 0.8750 0.8398 0.7500
F 0.5000 0.5000 0.0000
F 0.2500 0.7500 0.5000
Ru 0.0000 0.0000 0.0000
Ru 0.7500 0.2500 0.5000

For the distance to the lowest polymorph of the same formula, the calculation gives 266 meV/atom.


| no. | uncorrected formation energy (kJ per mole of atoms) | DOS(E_F) (states/eV per cell) | raw total energy (eV per atom) |
| --- | --- | --- | --- |
| 1 | -42.8 | 3.5 | -6.810 |
| 2 | 36.7 | 3.1 | -8.631 |
| 3 | 85.3 | 12.4 | -5.483 |
| 4 | 97.9 | 6.6 | -5.352 |
| 5 | -19.1 | 3.2 | -6.564 |
| 6 | 62.4 | 9.2 | -8.364 |